(P)
Density functional theory data (GGA-PBE) for a geometry-optimized LiAcCd4 structure.

Values from the calculation:
- space group = P4/mmm

Cell lengths 4.8126, 4.8126, 7.2869 Å; angles 90.00, 90.00, 90.00 degrees
Closest atoms and distances in Å follow each position.
Sites, in units of the cell vectors:
Li: 0.0000 0.0000 0.0000  6 Cd 2.31-2.41
Ac: 0.5000 0.5000 0.5000  8 Cd 3.65
Cd: 0.0000 0.0000 0.3171  1 Li 2.31
Cd: 0.0000 0.0000 0.6829  1 Li 2.31
Cd: 0.0000 0.5000 0.0000  2 Li 2.41
Cd: 0.5000 0.0000 0.0000  2 Li 2.41

(Q)
Density functional theory data (GGA-PBE) for a geometry-optimized LiAcCd4 structure.

Values from the calculation:
- space group = F-43m

Cell lengths 6.0503, 6.0503, 6.0503 Å; angles 60.00, 60.00, 60.00 degrees
Closest atoms and distances in Å follow each position.
Sites, in units of the cell vectors:
Li: 0.0000 0.0000 0.0000  12 Cd 3.55, 4 Ac 3.71
Ac: 0.7500 0.7500 0.7500  12 Cd 3.55, 4 Li 3.71
Cd: 0.3743 0.3743 0.3743  6 Cd 3.01-3.04
Cd: 0.3743 0.3743 0.8772  6 Cd 3.01-3.04
Cd: 0.3743 0.8772 0.3743  6 Cd 3.01-3.04
Cd: 0.8772 0.3743 0.3743  6 Cd 3.01-3.04

We find (Q) to be the most stable, with the next structure 305 meV/atom higher.

(P)
Density functional theory data (GGA-PBE) for a geometry-optimized Li4AcCd2 structure.

Values from the calculation:
- space group = P-4m2

Cell lengths 4.0695, 4.0695, 10.0372 Å; angles 90.00, 90.00, 90.00 degrees
Closest atoms and distances in Å follow each position.
Sites, in units of the cell vectors:
Li: 0.0000 0.0000 0.0000  8 Li 2.88-2.96, 4 Cd 2.95
Li: 0.0000 0.5000 0.2147  4 Cd 2.88, 4 Li 2.96
Li: 0.5000 0.0000 0.7853  4 Cd 2.88, 4 Li 2.96
Li: 0.5000 0.5000 0.0000  8 Li 2.88-2.96, 4 Cd 2.95
Ac: 0.5000 0.5000 0.5000  4 Li 3.51, 4 Cd 3.52
Cd: 0.0000 0.5000 0.7865  8 Li 2.88-2.95
Cd: 0.5000 0.0000 0.2135  8 Li 2.88-2.95

(Q)
Density functional theory data (GGA-PBE) for a geometry-optimized Li4AcCd2 structure.

Values from the calculation:
- space group = I4/mmm

Cell lengths 6.1508, 6.1508, 6.1508 Å; angles 108.10, 108.10, 112.25 degrees
Closest atoms and distances in Å follow each position.
Sites, in units of the cell vectors:
Li: 0.0000 0.2388 0.2388  2 Li 2.44, 2 Cd 2.55
Li: 0.0000 0.7612 0.7612  2 Li 2.44, 2 Cd 2.55
Li: 0.2388 0.0000 0.2388  2 Li 2.44, 2 Cd 2.55
Li: 0.7612 0.0000 0.7612  2 Li 2.44, 2 Cd 2.55
Ac: 0.5000 0.5000 0.0000  16 Li 3.84-4.07, 8 Cd 4.00
Cd: 0.2500 0.7500 0.5000  4 Li 2.55
Cd: 0.7500 0.2500 0.5000  4 Li 2.55

We find (P) to be the most stable, with the next structure 193 meV/atom higher.

(P)
Density functional theory data (GGA-PBE) for a geometry-optimized LiAcCd3 structure.

Values from the calculation:
- space group = Imma

Cell lengths 7.4097, 7.4097, 7.4097 Å; angles 131.79, 112.47, 87.21 degrees
Closest atoms and distances in Å follow each position.
Sites, in units of the cell vectors:
Li: 0.0000 0.0000 0.0000  2 Cd 2.72
Li: 0.5000 0.0000 0.5000  2 Cd 2.72
Ac: 0.2646 0.5146 0.7500  7 Cd 3.43-3.59, 4 Li 3.66
Ac: 0.7354 0.4854 0.2500  7 Cd 3.43-3.59, 4 Li 3.66
Cd: 0.1924 0.0000 0.6924  5 Cd 3.03-3.17, 2 Li 3.12
Cd: 0.1924 0.5000 0.1924  5 Cd 3.03-3.17, 2 Li 3.12
Cd: 0.4156 0.1656 0.2500  2 Li 2.72
Cd: 0.5844 0.8344 0.7500  2 Li 2.72
Cd: 0.8076 0.0000 0.3076  5 Cd 3.03-3.17, 2 Li 3.12
Cd: 0.8076 0.5000 0.8076  5 Cd 3.03-3.17, 2 Li 3.12

(Q)
Density functional theory data (GGA-PBE) for a geometry-optimized LiAcCd3 structure.

Values from the calculation:
- space group = Pm-3m

Cell lengths 5.0562, 5.0562, 5.0562 Å; angles 90.00, 90.00, 90.00 degrees
Closest atoms and distances in Å follow each position.
Sites, in units of the cell vectors:
Li: 0.0000 0.0000 0.0000  6 Cd 2.53
Ac: 0.5000 0.5000 0.5000  12 Cd 3.58
Cd: 0.0000 0.0000 0.5000  2 Li 2.53
Cd: 0.0000 0.5000 0.0000  2 Li 2.53
Cd: 0.5000 0.0000 0.0000  2 Li 2.53

(R)
Density functional theory data (GGA-PBE) for a geometry-optimized LiAcCd3 structure.

Values from the calculation:
- space group = P6_3/mmc

Cell lengths 7.1152, 7.1152, 5.8728 Å; angles 90.00, 90.00, 120.00 degrees
Closest atoms and distances in Å follow each position.
Sites, in units of the cell vectors:
Li: 0.0000 0.0000 0.0000  6 Cd 2.73, 2 Li 2.94
Li: 0.0000 0.0000 0.5000  6 Cd 2.73, 2 Li 2.94
Ac: 0.3333 0.6667 0.2500  12 Cd 3.45-3.57
Ac: 0.6667 0.3333 0.7500  12 Cd 3.45-3.57
Cd: 0.1870 0.3739 0.7500  2 Li 2.73
Cd: 0.1870 0.8130 0.7500  2 Li 2.73
Cd: 0.3739 0.1870 0.2500  2 Li 2.73
Cd: 0.6261 0.8130 0.7500  2 Li 2.73
Cd: 0.8130 0.1870 0.2500  2 Li 2.73
Cd: 0.8130 0.6261 0.2500  2 Li 2.73

We find (R) to be the most stable, with the next structure 68 meV/atom higher.

(P)
Density functional theory data (GGA-PBE) for a geometry-optimized LiAc3Cd2 structure.

Values from the calculation:
- space group = P4/mmm

Cell lengths 4.1076, 4.1076, 12.0672 Å; angles 90.00, 90.00, 90.00 degrees
Closest atoms and distances in Å follow each position.
Sites, in units of the cell vectors:
Li: 0.0000 0.0000 0.0000  8 Ac 3.56
Ac: 0.5000 0.5000 0.1704  4 Cd 3.49, 4 Li 3.56
Ac: 0.5000 0.5000 0.5000  8 Cd 3.55
Ac: 0.5000 0.5000 0.8296  4 Cd 3.49, 4 Li 3.56
Cd: 0.0000 0.0000 0.3311  8 Ac 3.49-3.55
Cd: 0.0000 0.0000 0.6689  8 Ac 3.49-3.55

(Q)
Density functional theory data (GGA-PBE) for a geometry-optimized LiAc3Cd2 structure.

Values from the calculation:
- space group = Cmmm

Cell lengths 9.0366, 9.0366, 4.1306 Å; angles 90.00, 90.00, 143.12 degrees
Closest atoms and distances in Å follow each position.
Sites, in units of the cell vectors:
Li: 0.0000 0.0000 0.0000  8 Ac 3.53-3.55
Ac: 0.1682 0.8318 0.5000  6 Cd 3.53-3.56, 2 Li 3.55
Ac: 0.5000 0.5000 0.5000  4 Cd 3.47, 4 Li 3.53
Ac: 0.8318 0.1682 0.5000  6 Cd 3.53-3.56, 2 Li 3.55
Cd: 0.3371 0.6629 0.0000  8 Ac 3.47-3.56
Cd: 0.6629 0.3371 0.0000  8 Ac 3.47-3.56

We find (Q) to be the most stable, with the next structure 10 meV/atom higher.